PmPr4Os2 | GGA-PBE | optimized geometry

Cell: 8.0371 6.6560 8.1256 Å, 90.00 112.46 90.00°
Sites, in units of the cell vectors:
Pm: 0.1574 0.2500 0.0315
Pm: 0.8426 0.7500 0.9685
Pr: 0.0214 0.2500 0.3766
Pr: 0.2398 0.7500 0.3221
Pr: 0.4169 0.0033 0.7606
Pr: 0.4169 0.4967 0.7606
Pr: 0.5831 0.5033 0.2394
Pr: 0.5831 0.9967 0.2394
Pr: 0.7602 0.2500 0.6779
Pr: 0.9786 0.7500 0.6234
Os: 0.2520 0.7500 0.9815
Os: 0.3755 0.2500 0.4073
Os: 0.6245 0.7500 0.5927
Os: 0.7480 0.2500 0.0185

DOS at the Fermi energy: 7.137 states/eV/f.u.
Energy: -6.591 eV per atom
E_form: 0.03 eV/atom

---

Cd2In3Bi | GGA-PBE | optimized geometry

Cell: 7.1777 7.1777 5.3173 Å, 90.00 90.00 143.46°
Sites, in units of the cell vectors:
Cd: 0.1726 0.8274 0.0000
Cd: 0.8274 0.1726 0.0000
In: 0.0000 0.0000 0.5000
In: 0.3317 0.6683 0.5000
In: 0.6683 0.3317 0.5000
Bi: 0.5000 0.5000 0.0000

DOS at the Fermi energy: 2.256 states/eV/f.u.
Energy: -2.285 eV per atom
E_form: 0.04 eV/atom

---

Nd2Zn5NiRh2 | GGA-PBE | optimized geometry

Cell: 10.1323 10.1323 3.4598 Å, 90.00 90.00 90.00°
Sites, in units of the cell vectors:
Nd: 0.1795 0.3205 0.0000
Nd: 0.3205 0.8205 0.0000
Nd: 0.6795 0.1795 0.0000
Nd: 0.8205 0.6795 0.0000
Zn: 0.0000 0.5000 0.5000
Zn: 0.0515 0.8178 0.5000
Zn: 0.1822 0.0515 0.5000
Zn: 0.3178 0.5515 0.5000
Zn: 0.4485 0.3178 0.5000
Zn: 0.5000 0.0000 0.5000
Zn: 0.5515 0.6822 0.5000
Zn: 0.6822 0.4485 0.5000
Zn: 0.8178 0.9485 0.5000
Zn: 0.9485 0.1822 0.5000
Ni: 0.0000 0.0000 0.0000
Ni: 0.5000 0.5000 0.0000
Rh: 0.1288 0.6288 0.0000
Rh: 0.3712 0.1288 0.0000
Rh: 0.6288 0.8712 0.0000
Rh: 0.8712 0.3712 0.0000

DOS at the Fermi energy: 5.412 states/eV/f.u.
Energy: -3.988 eV per atom
E_form: -0.35 eV/atom

---

MgCdGa2 | GGA-PBE | optimized geometry

Cell: 10.5678 10.5678 10.5678 Å, 157.60 157.60 31.89°
Sites, in units of the cell vectors:
Mg: 0.0000 0.0000 0.0000
Mg: 0.7500 0.2500 0.5000
Cd: 0.2500 0.7500 0.5000
Cd: 0.5000 0.5000 0.0000
Ga: 0.1174 0.6250 0.9924
Ga: 0.3750 0.3674 0.4924
Ga: 0.6326 0.1250 0.0076
Ga: 0.8750 0.8826 0.5076

DOS at the Fermi energy: 1.738 states/eV/f.u.
Energy: -2.090 eV per atom
E_form: 0.05 eV/atom
Distance to the lowest polymorph of the same formula: 109 meV per atom